No. 1
! Pm3Y3Er2, optimized geometry, DFT PBE-GGA; values from VASP
&SYSTEM
  ibrav = 0, nat = 8, ntyp = 3
/
ATOMIC_SPECIES
Pm 145.00 Pm.upf
Y 88.91 Y.upf
Er 167.26 Er.upf
ATOMIC_POSITIONS crystal
Pm 0.000 0.000 0.000
Pm 0.135 0.135 0.697
Pm 0.865 0.865 0.303
Y 0.367 0.367 0.918
Y 0.500 0.500 0.500
Y 0.633 0.633 0.082
Er 0.249 0.249 0.317
Er 0.751 0.751 0.683
CELL_PARAMETERS angstrom
8.173 -2.855 0.000
8.173 2.855 0.000
-2.043 0.000 5.654
! magnetization	0.0	μB per formula unit
! SG	C2/m (12)
! ρ	6.5	g cm⁻³
! distance to the lowest polymorph of the same formula	58.9	meV per atom
! calculated volume	33.0	A^3/atom
! E_form	0.081	eV/atom


No. 2
! Pm3Y8Er2, optimized geometry, DFT PBE-GGA; values from VASP
&SYSTEM
  ibrav = 0, nat = 13, ntyp = 3
/
ATOMIC_SPECIES
Pm 145.00 Pm.upf
Y 88.91 Y.upf
Er 167.26 Er.upf
ATOMIC_POSITIONS crystal
Pm 0.000 0.000 0.000
Pm 0.291 0.709 0.500
Pm 0.709 0.291 0.500
Y 0.135 0.135 0.500
Y 0.182 0.601 0.000
Y 0.327 0.327 0.499
Y 0.399 0.818 0.000
Y 0.601 0.182 0.000
Y 0.673 0.673 0.501
Y 0.818 0.399 0.000
Y 0.865 0.865 0.500
Er 0.241 0.241 0.999
Er 0.759 0.759 0.001
CELL_PARAMETERS angstrom
10.027 -3.866 0.000
10.027 3.866 0.000
-0.005 0.000 5.687
! magnetization	0.0	μB per formula unit
! SG	C2/m (12)
! ρ	5.6	g cm⁻³
! distance to the lowest polymorph of the same formula	224.0	meV per atom
! calculated volume	33.9	A^3/atom
! E_form	0.245	eV/atom


No. 3
! PmY6Er3, optimized geometry, DFT PBE-GGA; values from VASP
&SYSTEM
  ibrav = 0, nat = 20, ntyp = 3
/
ATOMIC_SPECIES
Pm 145.00 Pm.upf
Y 88.91 Y.upf
Er 167.26 Er.upf
ATOMIC_POSITIONS crystal
Pm 0.206 0.794 0.500
Pm 0.794 0.206 0.000
Y 0.044 0.461 0.704
Y 0.047 0.953 0.247
Y 0.282 0.718 0.996
Y 0.291 0.381 0.878
Y 0.381 0.291 0.378
Y 0.461 0.044 0.204
Y 0.539 0.956 0.704
Y 0.619 0.709 0.878
Y 0.709 0.619 0.378
Y 0.718 0.282 0.496
Y 0.953 0.047 0.747
Y 0.956 0.539 0.204
Er 0.064 0.283 0.296
Er 0.283 0.064 0.796
Er 0.389 0.611 0.418
Er 0.611 0.389 0.918
Er 0.717 0.936 0.296
Er 0.936 0.717 0.796
CELL_PARAMETERS angstrom
5.492 -9.460 0.000
5.492 9.460 0.000
0.000 0.000 6.249
! magnetization	0.0	μB per formula unit
! SG	Cmc2_1 (36)
! ρ	6.0	g cm⁻³
! distance to the lowest polymorph of the same formula	28.2	meV per atom
! calculated volume	32.5	A^3/atom
! E_form	0.145	eV/atom


No. 4
! PmY6Er4, optimized geometry, DFT PBE-GGA; values from VASP
&SYSTEM
  ibrav = 0, nat = 11, ntyp = 3
/
ATOMIC_SPECIES
Pm 145.00 Pm.upf
Y 88.91 Y.upf
Er 167.26 Er.upf
ATOMIC_POSITIONS crystal
Pm 0.000 0.000 0.000
Y 0.184 0.367 0.500
Y 0.184 0.816 0.500
Y 0.519 0.039 0.000
Y 0.519 0.481 0.000
Y 0.633 0.816 0.500
Y 0.961 0.481 0.000
Er 0.324 0.162 0.500
Er 0.333 0.667 0.000
Er 0.838 0.162 0.500
Er 0.838 0.676 0.500
CELL_PARAMETERS angstrom
10.903 0.000 0.000
-5.451 9.442 0.000
0.000 0.000 3.548
! magnetization	0.0	μB per formula unit
! SG	P-6m2 (187)
! ρ	6.1	g cm⁻³
! distance to the lowest polymorph of the same formula	46.6	meV per atom
! calculated volume	33.2	A^3/atom
! E_form	0.165	eV/atom


No. 5
! PmY3Er12, optimized geometry, DFT PBE-GGA; values from VASP
&SYSTEM
  ibrav = 0, nat = 16, ntyp = 3
/
ATOMIC_SPECIES
Pm 145.00 Pm.upf
Y 88.91 Y.upf
Er 167.26 Er.upf
ATOMIC_POSITIONS crystal
Pm 0.000 0.000 0.000
Y 0.000 0.000 0.250
Y 0.000 0.000 0.500
Y 0.000 0.000 0.750
Er 0.000 0.500 0.126
Er 0.000 0.500 0.375
Er 0.000 0.500 0.625
Er 0.000 0.500 0.874
Er 0.500 0.000 0.126
Er 0.500 0.000 0.375
Er 0.500 0.000 0.625
Er 0.500 0.000 0.874
Er 0.500 0.500 0.000
Er 0.500 0.500 0.251
Er 0.500 0.500 0.500
Er 0.500 0.500 0.749
CELL_PARAMETERS angstrom
4.989 0.000 0.000
0.000 4.989 0.000
0.000 0.000 19.960
! magnetization	0.0	μB per formula unit
! SG	P4/mmm (123)
! ρ	8.1	g cm⁻³
! calculated volume	31.1	A^3/atom
! E_form	0.024	eV/atom


No. 6
! Pm2Y4Er7, optimized geometry, DFT PBE-GGA; values from VASP
&SYSTEM
  ibrav = 0, nat = 13, ntyp = 3
/
ATOMIC_SPECIES
Pm 145.00 Pm.upf
Y 88.91 Y.upf
Er 167.26 Er.upf
ATOMIC_POSITIONS crystal
Pm 0.333 0.667 0.000
Pm 0.667 0.333 0.000
Y 0.000 0.000 0.395
Y 0.000 0.000 0.605
Y 0.333 0.667 0.500
Y 0.667 0.333 0.500
Er 0.000 0.000 0.000
Er 0.000 0.352 0.215
Er 0.000 0.648 0.785
Er 0.352 0.000 0.215
Er 0.352 0.352 0.785
Er 0.648 0.000 0.785
Er 0.648 0.648 0.215
CELL_PARAMETERS angstrom
6.047 0.000 0.000
-3.023 5.237 0.000
0.000 0.000 13.331
! magnetization	0.0	μB per formula unit
! SG	P-31m (162)
! ρ	7.1	g cm⁻³
! calculated volume	32.5	A^3/atom
! E_form	0.178	eV/atom


No. 7
! Pm2Y7Er2, optimized geometry, DFT PBE-GGA; values from VASP
&SYSTEM
  ibrav = 0, nat = 11, ntyp = 3
/
ATOMIC_SPECIES
Pm 145.00 Pm.upf
Y 88.91 Y.upf
Er 167.26 Er.upf
ATOMIC_POSITIONS crystal
Pm 0.177 0.823 0.000
Pm 0.823 0.177 0.000
Y 0.054 0.418 0.705
Y 0.350 0.350 0.094
Y 0.418 0.054 0.705
Y 0.500 0.500 0.500
Y 0.582 0.946 0.295
Y 0.650 0.650 0.906
Y 0.946 0.582 0.295
Er 0.105 0.105 0.354
Er 0.895 0.895 0.646
CELL_PARAMETERS angstrom
4.481 -4.756 0.000
4.481 4.756 0.000
-1.842 0.000 8.522
! magnetization	0.0	μB per formula unit
! SG	C2/m (12)
! ρ	5.7	g cm⁻³
! distance to the lowest polymorph of the same formula	0.0	meV per atom
! calculated volume	33.0	A^3/atom
! E_form	0.107	eV/atom


No. 8
! Pm5Y4Er3, optimized geometry, DFT PBE-GGA; values from VASP
&SYSTEM
  ibrav = 0, nat = 12, ntyp = 3
/
ATOMIC_SPECIES
Pm 145.00 Pm.upf
Y 88.91 Y.upf
Er 167.26 Er.upf
ATOMIC_POSITIONS crystal
Pm 0.000 0.000 0.000
Pm 0.140 0.140 0.465
Pm 0.329 0.329 0.736
Pm 0.671 0.671 0.264
Pm 0.860 0.860 0.535
Y 0.269 0.269 0.104
Y 0.411 0.411 0.371
Y 0.589 0.589 0.629
Y 0.731 0.731 0.896
Er 0.044 0.044 0.781
Er 0.500 0.500 0.000
Er 0.956 0.956 0.219
CELL_PARAMETERS angstrom
5.743 -2.730 0.000
5.743 2.730 0.000
-3.331 0.000 12.755
! magnetization	0.3	μB per formula unit
! SG	C2/m (12)
! ρ	6.6	g cm⁻³
! calculated volume	33.3	A^3/atom
! E_form	0.225	eV/atom


No. 9
! Pm3YEr4, optimized geometry, DFT PBE-GGA; values from VASP
&SYSTEM
  ibrav = 0, nat = 16, ntyp = 3
/
ATOMIC_SPECIES
Pm 145.00 Pm.upf
Y 88.91 Y.upf
Er 167.26 Er.upf
ATOMIC_POSITIONS crystal
Pm 0.000 0.128 0.000
Pm 0.249 0.873 0.835
Pm 0.251 0.127 0.335
Pm 0.500 0.872 0.500
Pm 0.749 0.127 0.335
Pm 0.751 0.873 0.835
Y 0.000 0.871 0.498
Y 0.500 0.129 0.998
Er 0.000 0.377 0.500
Er 0.000 0.621 0.999
Er 0.249 0.621 0.332
Er 0.251 0.379 0.832
Er 0.500 0.379 0.499
Er 0.500 0.623 0.000
Er 0.749 0.379 0.832
Er 0.751 0.621 0.332
CELL_PARAMETERS angstrom
11.366 0.000 0.000
0.000 7.300 0.000
0.000 0.000 6.291
! magnetization	0.0	μB per formula unit
! SG	Pmn2_1 (31)
! ρ	7.6	g cm⁻³
! distance to the lowest polymorph of the same formula	0.0	meV per atom
! calculated volume	32.6	A^3/atom
! E_form	0.017	eV/atom


No. 10
! Pm7Y2Er2, optimized geometry, DFT PBE-GGA; values from VASP
&SYSTEM
  ibrav = 0, nat = 11, ntyp = 3
/
ATOMIC_SPECIES
Pm 145.00 Pm.upf
Y 88.91 Y.upf
Er 167.26 Er.upf
ATOMIC_POSITIONS crystal
Pm 0.000 0.000 0.000
Pm 0.047 0.590 0.825
Pm 0.234 0.234 0.600
Pm 0.410 0.953 0.175
Pm 0.590 0.047 0.825
Pm 0.766 0.766 0.400
Pm 0.953 0.410 0.175
Y 0.218 0.782 0.500
Y 0.782 0.218 0.500
Er 0.421 0.421 0.201
Er 0.579 0.579 0.799
CELL_PARAMETERS angstrom
5.797 -5.693 0.000
5.797 5.693 0.000
-2.294 0.000 5.628
! magnetization	0.0	μB per formula unit
! SG	C2/m (12)
! ρ	6.8	g cm⁻³
! distance to the lowest polymorph of the same formula	35.3	meV per atom
! calculated volume	33.8	A^3/atom
! E_form	0.147	eV/atom


No. 11
! Pm8Y6Er, optimized geometry, DFT PBE-GGA; values from VASP
&SYSTEM
  ibrav = 0, nat = 15, ntyp = 3
/
ATOMIC_SPECIES
Pm 145.00 Pm.upf
Y 88.91 Y.upf
Er 167.26 Er.upf
ATOMIC_POSITIONS crystal
Pm 0.037 0.752 0.334
Pm 0.248 0.284 0.334
Pm 0.284 0.037 0.666
Pm 0.333 0.667 0.379
Pm 0.667 0.333 0.621
Pm 0.716 0.963 0.334
Pm 0.752 0.716 0.666
Pm 0.963 0.248 0.666
Y 0.093 0.657 0.842
Y 0.343 0.436 0.842
Y 0.436 0.093 0.158
Y 0.564 0.907 0.842
Y 0.657 0.564 0.158
Y 0.907 0.343 0.158
Er 0.000 0.000 0.000
CELL_PARAMETERS angstrom
9.434 0.000 0.000
-4.717 8.170 0.000
0.000 0.000 6.587
! magnetization	0.0	μB per formula unit
! SG	P-3 (147)
! ρ	6.1	g cm⁻³
! distance to the lowest polymorph of the same formula	51.6	meV per atom
! calculated volume	33.8	A^3/atom
! E_form	0.165	eV/atom


No. 12
! PmY8Er2, optimized geometry, DFT PBE-GGA; values from VASP
&SYSTEM
  ibrav = 0, nat = 11, ntyp = 3
/
ATOMIC_SPECIES
Pm 145.00 Pm.upf
Y 88.91 Y.upf
Er 167.26 Er.upf
ATOMIC_POSITIONS crystal
Pm 0.000 0.000 0.000
Y 0.099 0.339 0.680
Y 0.206 0.794 0.000
Y 0.339 0.099 0.680
Y 0.429 0.429 0.208
Y 0.571 0.571 0.792
Y 0.661 0.901 0.320
Y 0.794 0.206 0.000
Y 0.901 0.661 0.320
Er 0.308 0.692 0.500
Er 0.692 0.308 0.500
CELL_PARAMETERS angstrom
4.518 -8.140 0.000
4.518 8.140 0.000
-3.264 0.000 4.901
! magnetization	0.0	μB per formula unit
! SG	C2/m (12)
! ρ	5.5	g cm⁻³
! distance to the lowest polymorph of the same formula	0.0	meV per atom
! calculated volume	32.8	A^3/atom
! E_form	0.161	eV/atom